Entry 1:
BaY3Pd: optimized geometry, PBE.

abc: 5.6249 5.6249 5.6249
angles: 90.00 90.00 90.00
With the nearest neighbours (Å) after each atom.
Atoms (fractional coordinates):
Y 0.0000 0.0000 0.5000  2 Pd 2.81
Y 0.0000 0.5000 0.0000  2 Pd 2.81
Y 0.5000 0.0000 0.0000  2 Pd 2.81
Pd 0.0000 0.0000 0.0000  6 Y 2.81
Ba 0.5000 0.5000 0.5000  12 Y 3.98

Calculated values
excess energy over the best structure of this formula in the dataset	0.000	eV per atom
total DFT energy (no corrections)	-5.4984	eV/atom
formation enthalpy at 0 K	-4.54	kcal/mol of atoms
calculated volume	35.59	A^3/atom

Entry 2:
Si2SbIr: optimized geometry, PBE.

abc: 4.1592 4.3795 4.2528
angles: 81.74 90.00 90.00
With the nearest neighbours (Å) after each atom.
Atoms (fractional coordinates):
Sb 0.5000 0.7500 0.7500  2 Ir 2.82, 4 Si 2.95
Si 0.0000 0.0073 0.1280  2 Si 2.34-2.50, 2 Ir 2.43
Si 0.0000 0.4927 0.3720  2 Si 2.34-2.50, 2 Ir 2.43
Ir 0.5000 0.2500 0.2500  4 Si 2.43

Calculated values
formation energy (no corrections)	0.061	eV/atom
total DFT energy (no corrections)	-5.8962	eV/atom
calculated volume	19.17	A^3/atom

Entry 3:
YTm2N3: optimized geometry, PBE.

abc: 4.8476 6.8581 10.2875
angles: 90.00 90.00 90.00
With the nearest neighbours (Å) after each atom.
Atoms (fractional coordinates):
Y 0.7500 0.1256 0.9164  6 N 2.42-2.46
Y 0.2500 0.8744 0.0836  6 N 2.42-2.46
Y 0.7500 0.6256 0.5836  6 N 2.42-2.46
Y 0.2500 0.3744 0.4164  6 N 2.42-2.46
N 0.2500 0.1289 0.9156  3 Tm 2.39-2.44, 3 Y 2.42-2.46
N 0.7500 0.3748 0.7492  4 Tm 2.42-2.43, 2 Y 2.42
N 0.2500 0.6289 0.5844  3 Tm 2.39-2.44, 3 Y 2.42-2.46
N 0.2500 0.1214 0.5852  5 Tm 2.39-2.43, 1 Y 2.45
N 0.2500 0.6214 0.9148  5 Tm 2.39-2.43, 1 Y 2.45
N 0.7500 0.8786 0.4148  5 Tm 2.39-2.43, 1 Y 2.45
N 0.7500 0.8748 0.7508  4 Tm 2.42-2.43, 2 Y 2.42
N 0.7500 0.8711 0.0844  3 Tm 2.39-2.44, 3 Y 2.42-2.46
N 0.7500 0.3711 0.4156  3 Tm 2.39-2.44, 3 Y 2.42-2.46
N 0.7500 0.3786 0.0852  5 Tm 2.39-2.43, 1 Y 2.45
N 0.2500 0.1252 0.2492  4 Tm 2.42-2.43, 2 Y 2.42
N 0.2500 0.6252 0.2508  4 Tm 2.42-2.43, 2 Y 2.42
Tm 0.7500 0.1250 0.2506  6 N 2.39-2.44
Tm 0.7500 0.6250 0.2494  6 N 2.39-2.44
Tm 0.2500 0.8750 0.7494  6 N 2.39-2.44
Tm 0.2500 0.3756 0.0833  6 N 2.42-2.43
Tm 0.7500 0.1244 0.5833  6 N 2.42-2.43
Tm 0.2500 0.8756 0.4167  6 N 2.42-2.43
Tm 0.2500 0.3750 0.7506  6 N 2.39-2.44
Tm 0.7500 0.6244 0.9167  6 N 2.42-2.43

Calculated values
formation energy (no corrections)	-1.777	eV/atom
total DFT energy (no corrections)	-8.5080	eV/atom
calculated volume	14.25	A^3/atom

Entry 4:
GeSb3S: optimized geometry, PBE.

abc: 5.3126 5.3126 5.3126
angles: 90.00 90.00 90.00
With the nearest neighbours (Å) after each atom.
Atoms (fractional coordinates):
Sb 0.0000 0.5000 0.0000  2 Ge 2.66
Sb 0.0000 0.0000 0.5000  2 Ge 2.66
Sb 0.5000 0.0000 0.0000  2 Ge 2.66
Ge 0.0000 0.0000 0.0000  6 Sb 2.66
S 0.5000 0.5000 0.5000  12 Sb 3.76

Calculated values
formation energy (no corrections)	0.893	eV/atom
excess energy over the best structure of this formula in the dataset	0.277	eV per atom
total DFT energy (no corrections)	-3.3295	eV/atom
calculated volume	29.99	A^3/atom

Entry 5:
La5MgIn2: optimized geometry, PBE.

abc: 5.9967 5.9967 8.2780
angles: 111.24 111.24 90.00
With the nearest neighbours (Å) after each atom.
Atoms (fractional coordinates):
La 0.8676 0.3676 0.7351  3 La 3.34-3.54, 4 In 3.43-3.44, 2 Mg 3.54
La 0.6324 0.1324 0.2649  3 La 3.34-3.54, 4 In 3.43-3.44, 2 Mg 3.54
La 0.3676 0.8676 0.7351  3 La 3.34-3.54, 4 In 3.43-3.44, 2 Mg 3.54
La 0.1324 0.6324 0.2649  3 La 3.34-3.54, 4 In 3.43-3.44, 2 Mg 3.54
La 0.5000 0.5000 0.0000  8 La 3.54, 2 In 3.55
Mg 0.0000 0.0000 0.0000  8 La 3.54, 2 In 3.56
In 0.7496 0.7496 0.4992  9 La 3.43-3.55, 1 Mg 3.56
In 0.2504 0.2504 0.5008  9 La 3.43-3.55, 1 Mg 3.56

Calculated values
total DFT energy (no corrections)	-4.2073	eV/atom
formation enthalpy at 0 K	-5.62	kcal/mol of atoms
calculated volume	31.96	A^3/atom

Entry 6:
CuMo2P2: optimized geometry, PBE.

abc: 6.6456 6.6456 3.1336
angles: 90.00 90.00 90.00
With the nearest neighbours (Å) after each atom.
Atoms (fractional coordinates):
P 0.8548 0.6452 0.0000  6 Mo 2.48-2.52, 2 Cu 2.55, 1 P 2.73
P 0.3548 0.8548 0.0000  6 Mo 2.48-2.52, 2 Cu 2.55, 1 P 2.73
P 0.1452 0.3548 0.0000  6 Mo 2.48-2.52, 2 Cu 2.55, 1 P 2.73
P 0.6452 0.1452 0.0000  6 Mo 2.48-2.52, 2 Cu 2.55, 1 P 2.73
Mo 0.8492 0.3492 0.5000  6 P 2.48-2.52
Mo 0.1508 0.6508 0.5000  6 P 2.48-2.52
Mo 0.6508 0.8492 0.5000  6 P 2.48-2.52
Mo 0.3492 0.1508 0.5000  6 P 2.48-2.52
Cu 0.0000 0.0000 0.0000  4 P 2.55
Cu 0.5000 0.5000 0.0000  4 P 2.55

Calculated values
total DFT energy (no corrections)	-7.5272	eV/atom
formation enthalpy at 0 K	-4.88	kcal/mol of atoms
calculated volume	13.84	A^3/atom

Entry 7:
Pm4BiN2: optimized geometry, PBE.

abc: 3.9224 6.5649 13.0305
angles: 90.00 90.00 107.38
With the nearest neighbours (Å) after each atom.
Atoms (fractional coordinates):
N 0.1392 0.2784 0.4404  6 Pm 2.45-2.74
N 0.8608 0.7216 0.9404  6 Pm 2.45-2.74
N 0.1392 0.2784 0.0596  6 Pm 2.45-2.74
N 0.8608 0.7216 0.5596  6 Pm 2.45-2.74
Pm 0.9137 0.8273 0.7500  2 N 2.57
Pm 0.5000 0.0000 0.0000  4 N 2.74
Pm 0.2406 0.4811 0.6009  3 N 2.45-2.53
Pm 0.0863 0.1727 0.2500  2 N 2.57
Pm 0.2406 0.4811 0.8991  3 N 2.45-2.53
Pm 0.7594 0.5189 0.3991  3 N 2.45-2.53
Pm 0.5000 0.0000 0.5000  4 N 2.74
Pm 0.7594 0.5189 0.1009  3 N 2.45-2.53
Bi 0.3921 0.7842 0.2500  6 Pm 3.13-3.22
Bi 0.6079 0.2158 0.7500  6 Pm 3.13-3.22

Calculated values
formation energy (no corrections)	-1.009	eV/atom
total DFT energy (no corrections)	-6.6572	eV/atom
calculated volume	22.87	A^3/atom

Entry 8:
La2Be4GaSi3: optimized geometry, PBE.

abc: 4.0829 4.0829 9.6720
angles: 90.00 90.00 90.00
With the nearest neighbours (Å) after each atom.
Atoms (fractional coordinates):
Be 0.0000 0.0000 0.0000  4 Si 2.38
Be 0.5000 0.0000 0.6319  3 Si 2.34-2.41, 2 Ga 2.41
Be 0.0000 0.5000 0.3681  3 Si 2.34-2.41, 2 Ga 2.41
Be 0.5000 0.5000 0.0000  4 Si 2.38
Ga 0.5000 0.5000 0.5000  4 Be 2.41
Si 0.0000 0.0000 0.5000  4 Be 2.41
Si 0.0000 0.5000 0.1259  5 Be 2.34-2.38
Si 0.5000 0.0000 0.8741  5 Be 2.34-2.38
La 0.0000 0.5000 0.7548  6 Si 3.11-3.20, 8 Be 3.12-3.13, 2 Ga 3.20
La 0.5000 0.0000 0.2452  6 Si 3.11-3.20, 8 Be 3.12-3.13, 2 Ga 3.20

Calculated values
formation energy (no corrections)	-0.403	eV/atom
total DFT energy (no corrections)	-4.8087	eV/atom
calculated volume	16.12	A^3/atom

Entry 9:
Zr2PbBr: optimized geometry, PBE.

abc: 5.2039 5.2039 5.2039
angles: 60.00 60.00 60.00
With the nearest neighbours (Å) after each atom.
Atoms (fractional coordinates):
Pb 0.7500 0.7500 0.7500  4 Zr 3.19, 4 Br 3.19
Br 0.5000 0.5000 0.5000  4 Pb 3.19, 4 Zr 3.19
Zr 0.0000 0.0000 0.0000  4 Zr 3.19, 4 Pb 3.19
Zr 0.2500 0.2500 0.2500  4 Zr 3.19, 4 Br 3.19

Calculated values
formation energy (no corrections)	0.346	eV/atom
total DFT energy (no corrections)	-5.2734	eV/atom
calculated volume	24.91	A^3/atom

Entry 10:
TaRh2W: optimized geometry, PBE.

abc: 3.9741 3.9741 3.9142
angles: 90.00 90.00 90.00
With the nearest neighbours (Å) after each atom.
Atoms (fractional coordinates):
Ta 0.5000 0.5000 0.5000  8 Rh 2.79, 4 W 2.81
Rh 0.0000 0.5000 0.0000  4 Ta 2.79, 4 W 2.79, 4 Rh 2.81
Rh 0.5000 0.0000 0.0000  4 Ta 2.79, 4 W 2.79, 4 Rh 2.81
W 0.0000 0.0000 0.5000  8 Rh 2.79, 4 Ta 2.81

Calculated values
excess energy over the best structure of this formula in the dataset	0.000	eV per atom
total DFT energy (no corrections)	-10.2023	eV/atom
formation enthalpy at 0 K	-7.50	kcal/mol of atoms
calculated volume	15.45	A^3/atom

Entry 11:
Ca8Bi5As: optimized geometry, PBE.

abc: 8.3009 8.3009 8.3009
angles: 109.82 108.77 109.82
With the nearest neighbours (Å) after each atom.
Atoms (fractional coordinates):
Bi 0.9904 0.3740 0.1212  8 Ca 3.21-3.53
Bi 0.7472 0.6260 0.6164  8 Ca 3.21-3.53
Bi 0.3836 0.1307 0.0096  8 Ca 3.21-3.53
Bi 0.5000 0.0000 0.5000  8 Ca 3.25-3.52
Bi 0.8788 0.8693 0.2528  8 Ca 3.21-3.53
Ca 0.4661 0.5963 0.2108  5 Bi 3.23-3.43, 1 As 3.32, 2 Ca 3.55-3.56
Ca 0.1275 0.7369 0.0037  1 As 3.04, 2 Bi 3.21-3.26
Ca 0.2668 0.2631 0.3907  1 As 3.04, 2 Bi 3.21-3.26
Ca 0.6093 0.8761 0.8725  1 As 3.04, 2 Bi 3.21-3.26
Ca 0.6144 0.4037 0.8698  5 Bi 3.23-3.43, 1 As 3.32, 2 Ca 3.55-3.56
Ca 0.7892 0.2554 0.3856  5 Bi 3.23-3.43, 1 As 3.32, 2 Ca 3.55-3.56
Ca 0.1302 0.7446 0.5339  5 Bi 3.23-3.43, 1 As 3.32, 2 Ca 3.55-3.56
Ca 0.9963 0.1239 0.7332  1 As 3.04, 2 Bi 3.21-3.26
As 0.2500 0.5000 0.7500  8 Ca 3.04-3.32

Calculated values
total DFT energy (no corrections)	-3.7447	eV/atom
formation enthalpy at 0 K	-20.36	kcal/mol of atoms
calculated volume	31.45	A^3/atom